No. 1
Mn3Al2Si3O12 after structural relaxation, computed with GGA-PBEsol.

The electronic total energy is -8.30 eV per atom. The crystal system is cubic. The value obtained for the size of the total moment is 15.000 μB per formula unit. The calculation puts the density of states at the Fermi level at 0.00 states/eV/cell. The value obtained for the raw formation energy is -2412 meV/atom.

abc: 10.051 10.051 10.051
angles: 109.47 109.47 109.47
Each line ends with the local moment (μB).
Fractional positions:
1 Mn 0.250 0.625 0.375  4.50
2 Mn 0.125 0.750 0.875  4.50
3 Al 0.500 0.500 0.500  0.00
4 Si 0.125 0.250 0.375  0.01
5 O 0.299 0.917 0.814  0.05
6 O 0.514 0.701 0.118  0.05
7 O 0.014 0.897 0.814  0.05
8 Mn 0.875 0.625 0.250  4.50
9 Al 0.500 0.500 0.000  0.00
10 O 0.814 0.397 0.014  0.05
11 O 0.103 0.686 0.486  0.05
12 O 0.417 0.799 0.314  0.05
13 O 0.486 0.299 0.882  0.05
14 O 0.897 0.583 0.882  0.05
15 O 0.686 0.986 0.603  0.05
16 O 0.603 0.118 0.417  0.05
17 Si 0.875 0.125 0.750  0.01
18 O 0.701 0.083 0.186  0.05
19 O 0.397 0.514 0.314  0.05
20 Si 0.375 0.750 0.125  0.01
21 Mn 0.375 0.125 0.250  4.50
22 O 0.799 0.814 0.917  0.05
23 Al 0.000 0.000 0.500  0.00
24 O 0.701 0.618 0.014  0.05
25 Si 0.375 0.625 0.750  0.01
26 O 0.118 0.201 0.514  0.05
27 O 0.986 0.103 0.186  0.05
28 O 0.417 0.618 0.603  0.05
29 O 0.882 0.799 0.486  0.05
30 O 0.514 0.814 0.897  0.05
31 O 0.486 0.186 0.103  0.05
32 Al 0.500 0.000 0.500  0.00
33 O 0.583 0.201 0.686  0.05
34 Si 0.250 0.875 0.625  0.01
35 Al 0.000 0.500 0.000  0.00
36 O 0.299 0.382 0.986  0.05
37 O 0.618 0.103 0.917  0.05
38 Al 0.000 0.000 0.000  0.00
39 O 0.083 0.686 0.201  0.05
40 O 0.382 0.486 0.799  0.05
41 O 0.986 0.882 0.299  0.05
42 O 0.799 0.986 0.382  0.05
43 O 0.814 0.417 0.299  0.05
44 Mn 0.125 0.375 0.750  4.50
45 O 0.103 0.417 0.118  0.05
46 Si 0.625 0.375 0.250  0.01
47 Al 0.500 0.000 0.000  0.00
48 Si 0.125 0.875 0.250  0.01
49 Mn 0.625 0.750 0.375  4.50
50 O 0.603 0.486 0.686  0.05
51 Mn 0.750 0.875 0.125  4.50
52 O 0.917 0.314 0.799  0.05
53 O 0.686 0.701 0.583  0.05
54 O 0.201 0.014 0.618  0.05
55 Al 0.000 0.500 0.500  0.00
56 Mn 0.875 0.250 0.125  4.50
57 O 0.882 0.083 0.897  0.05
58 Mn 0.375 0.250 0.625  4.50
59 O 0.083 0.397 0.382  0.05
60 O 0.583 0.382 0.397  0.05
61 Si 0.750 0.625 0.875  0.01
62 O 0.118 0.917 0.103  0.05
63 O 0.014 0.118 0.701  0.05
64 Mn 0.250 0.125 0.875  4.50
65 O 0.382 0.897 0.083  0.05
66 Si 0.625 0.250 0.875  0.01
67 O 0.186 0.603 0.986  0.05
68 O 0.917 0.603 0.618  0.05
69 Mn 0.750 0.375 0.625  4.50
70 O 0.397 0.882 0.583  0.05
71 Si 0.250 0.375 0.125  0.01
72 O 0.201 0.186 0.083  0.05
73 O 0.897 0.314 0.514  0.05
74 O 0.186 0.583 0.701  0.05
75 O 0.314 0.299 0.417  0.05
76 Si 0.875 0.750 0.625  0.01
77 O 0.618 0.514 0.201  0.05
78 Si 0.750 0.125 0.375  0.01
79 O 0.314 0.014 0.397  0.05
80 Mn 0.625 0.875 0.750  4.50



No. 2
MnAlW2O8 after structural relaxation, computed with GGA-PBEsol.

The electronic total energy is -9.11 eV per atom. The crystal system is triclinic. The value obtained for the size of the total moment is 3.996 μB per formula unit. The calculation puts the density of states at the Fermi level at 3.74 states/eV/cell. The value obtained for the raw formation energy is -2159 meV/atom.

abc: 4.906 5.459 9.093
angles: 90.86 88.35 91.11
Each line ends with the local moment (μB).
Fractional positions:
1 O 0.400 0.386 0.866  0.02
2 O 0.104 0.379 0.631  0.01
3 Al 0.264 0.644 0.753  0.00
4 O 0.896 0.621 0.369  0.01
5 O 0.417 0.880 0.391  0.03
6 O 0.585 0.124 0.110  0.00
7 O 0.583 0.120 0.609  0.03
8 Mn 0.257 0.638 0.253  3.54
9 O 0.087 0.869 0.130  0.00
10 W 0.776 0.858 0.505  0.12
11 O 0.097 0.864 0.631  0.01
12 Al 0.736 0.356 0.247  0.00
13 O 0.913 0.131 0.870  0.00
14 O 0.600 0.614 0.134  0.02
15 O 0.415 0.876 0.890  0.00
16 O 0.929 0.637 0.868  0.01
17 O 0.411 0.371 0.359  0.01
18 Mn 0.743 0.362 0.747  3.54
19 W 0.224 0.142 0.495  0.12
20 O 0.589 0.629 0.641  0.01
21 O 0.071 0.363 0.132  0.01
22 W 0.228 0.149 0.995  0.05
23 O 0.903 0.136 0.369  0.01
24 W 0.772 0.851 0.005  0.05



No. 3
Mn2AlOs after structural relaxation, computed with GGA-PBEsol.

The electronic total energy is -9.06 eV per atom. The crystal system is tetragonal. The value obtained for the size of the total moment is 1.266 μB per formula unit. The calculation puts the density of states at the Fermi level at 3.23 states/eV/cell.

abc: 2.853 2.853 5.926
angles: 90.00 90.00 90.00
Each line ends with the local moment (μB).
Fractional positions:
1 Os 0.000 0.000 0.491  -0.08
2 Mn 0.000 0.000 0.014  -0.21
3 Al 0.500 0.500 0.765  0.00
4 Mn 0.500 0.500 0.230  1.55



No. 4
Mn2AlOs after structural relaxation, computed with GGA-PBEsol.

The electronic total energy is -8.89 eV per atom. The crystal system is trigonal. The value obtained for the size of the total moment is 0.413 μB per formula unit. The calculation puts the density of states at the Fermi level at 4.86 states/eV/cell.

abc: 2.649 2.649 8.304
angles: 80.82 80.82 60.00
Each line ends with the local moment (μB).
Fractional positions:
1 Mn 0.004 0.004 0.988  -0.74
2 Os 0.496 0.496 0.511  -0.04
3 Al 0.254 0.254 0.239  0.01
4 Mn 0.746 0.746 0.762  1.13



No. 5
Mn2AlOs after structural relaxation, computed with GGA-PBEsol.

The electronic total energy is -9.05 eV per atom. The crystal system is cubic. The value obtained for the size of the total moment is 2.984 μB per formula unit. The calculation puts the density of states at the Fermi level at 3.68 states/eV/cell.

abc: 4.113 4.113 4.113
angles: 60.00 60.00 60.00
Each line ends with the local moment (μB).
Fractional positions:
1 Al 0.250 0.250 0.250  -0.01
2 Mn 0.750 0.750 0.750  1.80
3 Os 0.500 0.500 0.500  -0.03
4 Mn 0.000 0.000 0.000  1.18



No. 6
MnAlOs4 after structural relaxation, computed with GGA-PBEsol.

The electronic total energy is -9.85 eV per atom. The crystal system is cubic. The value obtained for the size of the total moment is 3.059 μB per formula unit. The calculation puts the density of states at the Fermi level at 6.15 states/eV/cell.

abc: 5.081 5.081 5.081
angles: 60.00 60.00 60.00
Each line ends with the local moment (μB).
Fractional positions:
1 Al 0.750 0.750 0.750  -0.01
2 Os 0.375 0.375 0.375  -0.17
3 Os 0.875 0.375 0.375  -0.17
4 Os 0.375 0.875 0.375  -0.17
5 Os 0.375 0.375 0.875  -0.17
6 Mn 0.000 0.000 0.000  3.62



No. 7
MnAl2Os after structural relaxation, computed with GGA-PBEsol.

The electronic total energy is -7.62 eV per atom. The crystal system is monoclinic. The value obtained for the size of the total moment is 1.607 μB per formula unit. The calculation puts the density of states at the Fermi level at 2.96 states/eV/cell.

abc: 2.694 4.868 4.868
angles: 114.04 102.69 102.69
Each line ends with the local moment (μB).
Fractional positions:
1 Mn 0.500 0.500 0.500  1.85
2 Al 0.000 0.500 0.000  -0.02
3 Os 0.500 0.000 0.000  -0.17
4 Al 0.000 0.000 0.500  -0.02



No. 8
Mn2AlOs after structural relaxation, computed with GGA-PBEsol.

The electronic total energy is -8.89 eV per atom. The crystal system is trigonal. The value obtained for the size of the total moment is 2.093 μB per formula unit. The calculation puts the density of states at the Fermi level at 4.96 states/eV/cell.

abc: 2.636 2.636 8.431
angles: 81.01 81.01 60.00
Each line ends with the local moment (μB).
Fractional positions:
1 Os 0.500 0.500 0.500  -0.10
2 Al 0.000 0.000 0.000  -0.01
3 Mn 0.750 0.750 0.749  1.07
4 Mn 0.250 0.250 0.251  1.07



No. 9
Mn2AlOs after structural relaxation, computed with GGA-PBEsol.

The electronic total energy is -8.97 eV per atom. The crystal system is tetragonal. The value obtained for the size of the total moment is 4.071 μB per formula unit. The calculation puts the density of states at the Fermi level at 4.76 states/eV/cell.

abc: 3.706 3.706 4.498
angles: 114.33 114.33 90.00
Each line ends with the local moment (μB).
Fractional positions:
1 Os 0.500 0.500 0.000  0.12
2 Mn 0.750 0.250 0.500  1.94
3 Al 0.000 0.000 0.000  -0.03
4 Mn 0.250 0.750 0.500  1.94



No. 10
Mn4AlOs after structural relaxation, computed with GGA-PBEsol.

The electronic total energy is -9.24 eV per atom. The crystal system is cubic. The value obtained for the size of the total moment is 0.002 μB per formula unit. The calculation puts the density of states at the Fermi level at 5.09 states/eV/cell.

abc: 4.607 4.607 4.607
angles: 60.00 60.00 60.00
Fractional positions:
1 Al 0.000 0.000 0.000
2 Os 0.250 0.250 0.250
3 Mn 0.627 0.627 0.627
4 Mn 0.118 0.627 0.627
5 Mn 0.627 0.118 0.627
6 Mn 0.627 0.627 0.118



No. 11
MnAl2Os after structural relaxation, computed with GGA-PBEsol.

The electronic total energy is -7.83 eV per atom. The crystal system is tetragonal. The value obtained for the size of the total moment is 2.551 μB per formula unit. The calculation puts the density of states at the Fermi level at 2.70 states/eV/cell.

abc: 3.072 4.136 4.136
angles: 90.00 90.00 90.00
Each line ends with the local moment (μB).
Fractional positions:
1 Mn 0.500 0.000 0.625  2.47
2 Al 0.000 0.000 0.125  -0.02
3 Os 0.500 0.500 0.125  0.08
4 Al 0.000 0.500 0.625  -0.02



No. 12
MnAl2P after structural relaxation, computed with GGA-PBEsol.

The electronic total energy is -5.91 eV per atom. The crystal system is trigonal. The value obtained for the size of the total moment is 1.722 μB per formula unit. The calculation puts the density of states at the Fermi level at 2.12 states/eV/cell.

abc: 2.828 2.828 8.059
angles: 79.90 79.90 60.00
Each line ends with the local moment (μB).
Fractional positions:
1 Mn 0.500 0.500 0.500  1.86
2 Al 0.247 0.247 0.259  -0.03
3 Al 0.753 0.753 0.741  -0.03
4 P 0.000 0.000 0.000  -0.01



No. 13
MnAl2P after structural relaxation, computed with GGA-PBEsol.

The electronic total energy is -5.93 eV per atom. The crystal system is tetragonal. The value obtained for the size of the total moment is 2.292 μB per formula unit. The calculation puts the density of states at the Fermi level at 3.14 states/eV/cell.

abc: 3.678 3.678 4.755
angles: 112.75 112.75 90.00
Each line ends with the local moment (μB).
Fractional positions:
1 Mn 0.500 0.500 0.000  2.30
2 Al 0.750 0.250 0.500  -0.03
3 P 0.250 0.750 0.500  0.01
4 Al 0.000 0.000 0.000  -0.01



No. 14
MnAl2P after structural relaxation, computed with GGA-PBEsol.

The electronic total energy is -6.18 eV per atom. The crystal system is tetragonal. The value obtained for the size of the total moment is 0.002 μB per formula unit. The calculation puts the density of states at the Fermi level at 2.35 states/eV/cell.

abc: 2.853 2.853 6.583
angles: 90.00 90.00 90.00
Fractional positions:
1 Mn 0.000 0.000 0.543
2 Al 0.500 0.500 0.288
3 Al 0.000 0.000 0.971
4 P 0.500 0.500 0.697



No. 15
Mn2AlPW after structural relaxation, computed with GGA-PBEsol.

The electronic total energy is -7.10 eV per atom. The crystal system is tetragonal. The value obtained for the size of the total moment is 4.711 μB per formula unit. The calculation puts the density of states at the Fermi level at 4.30 states/eV/cell.

abc: 4.495 4.495 4.869
angles: 90.00 90.00 90.00
Each line ends with the local moment (μB).
Fractional positions:
1 Mn 0.500 0.000 0.000  2.71
2 P 0.500 0.500 0.500  -0.13
3 W 0.000 0.000 0.000  -0.69
4 Mn 0.000 0.500 0.000  2.71
5 Al 0.000 0.000 0.500  0.00



No. 16
MnAlPb2 after structural relaxation, computed with GGA-PBEsol.

The electronic total energy is -5.09 eV per atom. The crystal system is trigonal. The value obtained for the size of the total moment is 3.417 μB per formula unit. The calculation puts the density of states at the Fermi level at 2.62 states/eV/cell.

abc: 3.250 3.250 9.881
angles: 80.53 80.53 60.00
Each line ends with the local moment (μB).
Fractional positions:
1 Mn 0.242 0.242 0.274  3.35
2 Al 0.513 0.513 0.460  -0.03
3 Pb 0.758 0.758 0.726  0.04
4 Pb 0.987 0.987 0.040  -0.04



No. 17
MnAlPb2 after structural relaxation, computed with GGA-PBEsol.

The electronic total energy is -5.23 eV per atom. The crystal system is tetragonal. The value obtained for the size of the total moment is 2.987 μB per formula unit. The calculation puts the density of states at the Fermi level at 2.79 states/eV/cell.

abc: 3.168 3.168 8.610
angles: 90.00 90.00 90.00
Each line ends with the local moment (μB).
Fractional positions:
1 Mn 0.500 0.500 0.708  3.06
2 Al 0.000 0.000 0.558  -0.04
3 Pb 0.500 0.500 0.293  -0.01
4 Pb 0.000 0.000 0.940  -0.05



No. 18
MnAlPb2 after structural relaxation, computed with GGA-PBEsol.

The electronic total energy is -5.01 eV per atom. The crystal system is orthorhombic. The value obtained for the size of the total moment is 3.919 μB per formula unit. The calculation puts the density of states at the Fermi level at 2.67 states/eV/cell.

abc: 3.273 5.273 5.273
angles: 101.56 90.00 90.00
Each line ends with the local moment (μB).
Fractional positions:
1 Pb 0.000 0.500 0.000  -0.03
2 Al 0.500 0.000 0.000  0.00
3 Pb 0.000 0.000 0.500  -0.03
4 Mn 0.500 0.500 0.500  3.81



No. 19
Mn2AlPb after structural relaxation, computed with GGA-PBEsol.

The electronic total energy is -6.52 eV per atom. Its energy above the most stable polymorph in this dataset is 0.76 kJ/mol of atoms. The crystal system is tetragonal. The value obtained for the size of the total moment is 5.164 μB per formula unit. The calculation puts the density of states at the Fermi level at 2.66 states/eV/cell.

abc: 3.857 4.008 4.008
angles: 90.00 90.00 90.00
Each line ends with the local moment (μB).
Fractional positions:
1 Mn 0.000 0.500 0.000  2.60
2 Al 0.500 0.000 0.000  -0.06
3 Mn 0.000 0.000 0.500  2.60
4 Pb 0.500 0.500 0.500  -0.07



No. 20
Mn2AlPb after structural relaxation, computed with GGA-PBEsol.

The electronic total energy is -6.53 eV per atom. Its energy above the most stable polymorph in this dataset is 0.00 kJ/mol of atoms. The crystal system is orthorhombic. The value obtained for the size of the total moment is 5.182 μB per formula unit. The calculation puts the density of states at the Fermi level at 2.68 states/eV/cell.

abc: 4.016 4.003 4.773
angles: 114.79 114.88 90.00
Each line ends with the local moment (μB).
Fractional positions:
1 Pb 0.500 0.000 0.000  -0.07
2 Al 0.000 0.500 0.000  -0.06
3 Mn 0.750 0.750 0.501  2.61
4 Mn 0.250 0.250 0.499  2.61